Record 1
Here is a geometry-optimized YOs2Br structure from Alexandria. Energies are from GGA-PBE.

Unit cell a=4.0583 b=4.0583 c=7.4327 alpha=82.11 beta=82.11 gamma=59.69
Closest atoms and distances in Å follow each position.
Fractional coordinates of all 4 atoms:
1 Br 0.1817 0.1817 0.2910  3 Y 3.02
2 Os 0.0962 0.0962 0.7950  3 Os 2.39
3 Os 0.7522 0.7522 0.8628  3 Os 2.39
4 Y 0.4699 0.4699 0.5511  6 Os 2.94-3.28, 3 Br 3.02

Excess energy over the best structure of this formula in the dataset (meV/atom): 0
Symmetry: Cm (8)
Total moment (Bohr magnetons per cell): 0.00
Formation energy without anion corrections (eV/f.u.): -0.25



Record 2
Here is a geometry-optimized Ga3CuBi structure from Alexandria. Energies are from GGA-PBE.

Unit cell a=4.8113 b=4.8113 c=4.8113 alpha=90.00 beta=90.00 gamma=90.00
Closest atoms and distances in Å follow each position.
Fractional coordinates of all 5 atoms:
1 Ga 0.0000 0.5000 0.0000  2 Cu 2.41
2 Ga 0.0000 0.0000 0.5000  2 Cu 2.41
3 Ga 0.5000 0.0000 0.0000  2 Cu 2.41
4 Bi 0.5000 0.5000 0.5000  12 Ga 3.40
5 Cu 0.0000 0.0000 0.0000  6 Ga 2.41

Excess energy over the best structure of this formula in the dataset (meV/atom): 0
ΔE_f (meV/atom): 125.6
Symmetry: Pm-3m (221)
Total moment (Bohr magnetons per cell): 0.00



Record 3
Here is a geometry-optimized ScPaSe4 structure from Alexandria. Energies are from GGA-PBE.

Unit cell a=6.3615 b=6.8816 c=7.7144 alpha=90.00 beta=90.00 gamma=90.00
Closest atoms and distances in Å follow each position.
Fractional coordinates of all 12 atoms:
1 Se 0.2398 0.3292 0.8862  2 Sc 2.73-2.80, 1 Pa 2.74
2 Se 0.2602 0.3292 0.3862  2 Sc 2.73-2.80, 1 Pa 2.74
3 Se 0.2572 0.8165 0.6144  1 Sc 2.68, 2 Pa 2.79-2.82
4 Se 0.7428 0.1835 0.6144  1 Sc 2.68, 2 Pa 2.79-2.82
5 Se 0.7602 0.6708 0.8862  2 Sc 2.73-2.80, 1 Pa 2.74
6 Se 0.2428 0.8165 0.1144  1 Sc 2.68, 2 Pa 2.79-2.82
7 Se 0.7398 0.6708 0.3862  2 Sc 2.73-2.80, 1 Pa 2.74
8 Se 0.7572 0.1835 0.1144  1 Sc 2.68, 2 Pa 2.79-2.82
9 Pa 0.0000 0.0000 0.8622  6 Se 2.74-2.82
10 Pa 0.5000 0.0000 0.3622  6 Se 2.74-2.82
11 Sc 0.0000 0.5000 0.1366  6 Se 2.68-2.80
12 Sc 0.5000 0.5000 0.6366  6 Se 2.68-2.80

Excess energy over the best structure of this formula in the dataset (meV/atom): 92
Symmetry: Pnc2 (30)
Total moment (Bohr magnetons per cell): 0.00
Formation energy without anion corrections (eV/f.u.): -8.32